The following is a DFT calculation (GGA-PBE) of a relaxed structure of CaTaCu.

a = 3.5218 Å, b = 9.7364 Å, c = 3.8594 Å
α = 89.96°, β = 90.00°, γ = 79.50°
Positions (direct):
Ca: 0.2274 0.4053 0.8906
Ca: 0.4070 0.0432 0.8898
Cu: 0.6626 0.5343 0.3906
Cu: 0.8108 0.2369 0.3918
Ta: 0.5730 0.7129 0.8899
Ta: 0.0281 0.8023 0.3897

Output
The total moment comes out at 0.00 μB per atom. The value obtained for the distance to the lowest polymorph of the same formula is 100 meV per atom. The formation energy comes out at 293 meV/atom.



The following is a DFT calculation (GGA-PBE) of a relaxed structure of CaTa2Cu.

a = 5.9994 Å, b = 5.9994 Å, c = 2.9422 Å
α = 79.42°, β = 79.42°, γ = 126.33°
Positions (direct):
Ca: 0.5000 0.0000 0.5000
Cu: 0.0000 0.5000 0.5000
Ta: 0.0000 0.0000 0.0000
Ta: 0.5000 0.5000 0.0000

Output
The total moment comes out at 0.00 μB per atom. The value obtained for the distance to the lowest polymorph of the same formula is 267 meV per atom. The formation energy comes out at 576 meV/atom.



The following is a DFT calculation (GGA-PBE) of a relaxed structure of CaTaCu.

a = 7.6151 Å, b = 2.9953 Å, c = 10.4465 Å
α = 90.00°, β = 90.00°, γ = 90.00°
Positions (direct):
Ca: 0.8418 0.2500 0.4005
Ca: 0.6582 0.7500 0.9005
Ca: 0.1582 0.7500 0.5995
Ca: 0.3418 0.2500 0.0995
Cu: 0.8473 0.2500 0.7018
Cu: 0.6527 0.7500 0.2018
Cu: 0.1527 0.7500 0.2982
Cu: 0.3473 0.2500 0.7982
Ta: 0.4350 0.2500 0.3967
Ta: 0.0650 0.7500 0.8967
Ta: 0.5650 0.7500 0.6033
Ta: 0.9350 0.2500 0.1033

Output
The total moment comes out at 0.00 μB per atom. The value obtained for the distance to the lowest polymorph of the same formula is 123 meV per atom. The formation energy comes out at 316 meV/atom.



The following is a DFT calculation (GGA-PBE) of a relaxed structure of CaTaCu.

a = 3.1122 Å, b = 3.1122 Å, c = 7.2052 Å
α = 90.00°, β = 90.00°, γ = 120.00°
Positions (direct):
Ca: 0.0000 0.0000 0.0124
Cu: 0.6667 0.3333 0.3557
Ta: 0.3333 0.6667 0.6319

Output
The total moment comes out at 0.00 μB per atom. The value obtained for the distance to the lowest polymorph of the same formula is 421 meV per atom. The formation energy comes out at 614 meV/atom.



The following is a DFT calculation (GGA-PBE) of a relaxed structure of CaTa2Cu.

a = 3.0121 Å, b = 3.6167 Å, c = 7.5201 Å
α = 90.00°, β = 90.00°, γ = 90.00°
Positions (direct):
Ca: 0.0000 0.0000 0.5264
Cu: 0.5000 0.5000 0.7992
Ta: 0.0000 0.0000 0.9836
Ta: 0.5000 0.5000 0.1909

Output
The total moment comes out at 0.00 μB per atom. The value obtained for the distance to the lowest polymorph of the same formula is 34 meV per atom. The formation energy comes out at 343 meV/atom.



The following is a DFT calculation (GGA-PBE) of a relaxed structure of Ca4TaCu.

a = 6.3757 Å, b = 6.3757 Å, c = 6.3757 Å
α = 60.00°, β = 60.00°, γ = 60.00°
Positions (direct):
Ca: 0.8757 0.3748 0.3748
Ca: 0.3748 0.3748 0.8757
Ca: 0.3748 0.8757 0.3748
Ca: 0.3748 0.3748 0.3748
Ta: 0.0000 0.0000 0.0000
Cu: 0.7500 0.7500 0.7500

Output
The total moment comes out at 0.80 μB per atom. The formation energy comes out at 1104 meV/atom.